RbH4SNO4 | PBE-GGA | optimized geometry

```
44
Lattice="6.554 0.000 0.000 0.000 7.726 0.000 0.000 0.000 10.923" Properties=species:S:1:pos:R:3 pbc="T T T"
Rb 4.916 2.512 1.337
Rb 1.639 1.351 6.799
Rb 4.916 6.375 4.124
Rb 1.639 5.214 9.586
H 4.916 4.839 8.494
H 0.794 2.489 3.835
H 1.639 2.887 2.429
H 1.639 3.984 3.789
H 4.071 5.237 7.088
H 4.071 1.374 9.296
H 5.760 1.374 9.296
H 0.794 6.352 1.627
H 4.916 7.605 9.250
H 2.483 2.489 3.835
H 4.916 3.742 7.134
H 1.639 6.750 3.032
H 5.760 5.237 7.088
H 2.483 6.352 1.627
H 4.916 0.976 7.891
H 1.639 0.121 1.673
S 1.639 5.598 5.999
S 4.916 5.991 0.537
S 1.639 1.735 10.386
S 4.916 2.128 4.924
N 1.639 2.989 3.461
N 4.916 0.874 8.922
N 4.916 4.737 7.462
N 1.639 6.852 2.001
O 4.916 5.999 9.955
O 3.695 1.398 4.444
O 1.639 0.353 9.851
O 3.695 5.260 1.017
O 6.136 1.398 4.444
O 0.418 2.465 9.906
O 1.639 4.216 6.533
O 6.136 5.260 1.017
O 4.916 2.136 6.429
O 4.916 7.373 1.072
O 2.859 6.328 6.479
O 1.639 5.590 4.494
O 4.916 3.510 4.390
O 0.418 6.328 6.479
O 1.639 1.727 0.968
O 2.859 2.465 9.906
```

Summary:
- Space group: Pnma
- DOS at the Fermi energy: 0.000 states/eV/atom
- V: 553.1 Å³ per cell
- Crystal system: orthorhombic
- Total DFT energy (no corrections): -5.432 eV/atom